Density functional theory data (PBE) for an optimized crystal structure of Ti4NbCo5.

abc: 2.9258 2.9258 15.5864
angles: 90.00 90.00 90.00
Space group P4/mmm (No. 123)
One atom of each set of equivalent atoms:
Ti: 0.0000 0.0000 0.0978 x2
Ti: 0.0000 0.0000 0.2945 x2
Nb: 0.0000 0.0000 0.5000 x1
Co: 0.5000 0.5000 0.0000 x1
Co: 0.5000 0.5000 0.1953 x2
Co: 0.5000 0.5000 0.3806 x2

Output
DFT formation energy, eV per formula unit: -3.3
Final energy, eV per cell: -80.52

Density functional theory data (PBE) for an optimized crystal structure of Tb6Pr2Tl.

abc: 3.5431 10.2749 16.0517
angles: 90.00 90.00 90.00
Space group Immm (No. 71)
One atom of each set of equivalent atoms:
Tb: 0.0000 0.1620 0.1768 x8
Tb: 0.0000 0.2015 0.5000 x4
Pr: 0.0000 0.5000 0.1518 x4
Tl: 0.0000 0.0000 0.0000 x2

Output
DFT formation energy, eV per formula unit: 0.0
Final energy, eV per cell: -79.44

Density functional theory data (PBE) for an optimized crystal structure of Ce4PSe5.

abc: 18.8475 4.2989 7.8246
angles: 90.00 114.45 90.00
Space group C2/m (No. 12)
One atom of each set of equivalent atoms:
Ce: 0.0000 0.0000 0.2459 x4
Ce: 0.1968 0.5000 0.1970 x4
P: 0.0000 0.5000 0.0000 x2
Se: 0.0000 0.5000 0.5000 x2
Se: 0.1673 0.0000 0.4184 x4
Se: 0.1673 0.0000 0.9168 x4

Output
Excess energy over the best structure of this formula in the dataset, meV per atom: 0.0
Formation energy (no corrections), eV per atom: -1.660
Final energy, eV per cell: -126.35

Density functional theory data (PBE) for an optimized crystal structure of CrAs2RhSe.

abc: 4.5866 4.5866 4.5926
angles: 90.00 90.00 90.00
Space group P4/mmm (No. 123)
One atom of each set of equivalent atoms:
Cr: 0.0000 0.0000 0.0000 x1
As: 0.0000 0.5000 0.0000 x2
Rh: 0.5000 0.5000 0.5000 x1
Se: 0.0000 0.0000 0.5000 x1

Output
Excess energy over the best structure of this formula in the dataset, meV per atom: 0.0
Formation energy (no corrections), eV per atom: 0.600
Final energy, eV per cell: -26.76

Density functional theory data (PBE) for an optimized crystal structure of AsPd5Au2.

abc: 5.8632 5.8632 4.5459
angles: 90.00 90.00 90.00
Space group P4/mmm (No. 123)
One atom of each set of equivalent atoms:
As: 0.0000 0.0000 0.0000 x1
Pd: 0.0000 0.0000 0.5000 x1
Pd: 0.2769 0.2769 0.0000 x4
Au: 0.0000 0.5000 0.5000 x2

Output
DFT formation energy, eV per formula unit: 1.6
Final energy, eV per cell: -35.54

Density functional theory data (PBE) for an optimized crystal structure of Y2NbReP.

abc: 5.4430 5.4430 4.5853
angles: 90.00 90.00 90.00
Space group P4/mmm (No. 123)
One atom of each set of equivalent atoms:
Y: 0.0000 0.5000 0.0000 x2
Nb: 0.0000 0.0000 0.0000 x1
Re: 0.0000 0.0000 0.5000 x1
P: 0.5000 0.5000 0.5000 x1

Output
DFT formation energy, eV per formula unit: 5.3
Final energy, eV per cell: -35.54

Density functional theory data (PBE) for an optimized crystal structure of Sr3SnRu.

abc: 5.5949 5.5949 5.5949
angles: 90.00 90.00 90.00
Space group Pm-3m (No. 221)
One atom of each set of equivalent atoms:
Sr: 0.0000 0.0000 0.5000 x3
Sn: 0.5000 0.5000 0.5000 x1
Ru: 0.0000 0.0000 0.0000 x1

Output
Excess energy over the best structure of this formula in the dataset, meV per atom: 0.0
DFT formation energy, eV per formula unit: 0.8
Final energy, eV per cell: -17.50

Density functional theory data (PBE) for an optimized crystal structure of HgMo2Ir.

abc: 6.4324 6.4324 6.4324
angles: 90.00 90.00 90.00
Space group F-43m (No. 216)
One atom of each set of equivalent atoms:
Hg: 0.0000 0.0000 0.0000 x4
Mo: 0.0000 0.0000 0.5000 x4
Mo: 0.2500 0.2500 0.7500 x4
Ir: 0.2500 0.2500 0.2500 x4

Output
DFT formation energy, eV per formula unit: 2.0
Final energy, eV per cell: -115.41